# 1
This record from Alexandria via LeMat-Bulk describes a relaxed structure of Mg2ZrGaS. The functional is GGA-PBE.

Unit cell a=4.7697 b=5.2752 c=4.7697 alpha=90.00 beta=90.00 gamma=90.00
Fractional coordinates of all 5 atoms:
Ga1 0.0000 0.0000 0.0000
Zr1 0.0000 0.5000 0.0000
S1 0.5000 0.5000 0.5000
Mg1 0.0000 0.0000 0.5000
Mg2 0.5000 0.0000 0.0000

Results
Total moment, μB/f.u.: 0.0
Calculated volume, Å³/atom: 24.002
Raw formation energy, meV per atom: 198
D(E_F), states/eV/f.u.: 5.4
Symmetry: P4/mmm



# 2
This record from Alexandria via LeMat-Bulk describes a relaxed structure of Mg2Ga2Sb. The functional is GGA-PBE.

Unit cell a=8.1530 b=8.1530 c=3.2971 alpha=90.00 beta=90.00 gamma=90.00
Fractional coordinates of all 10 atoms:
Sb1 0.5000 0.5000 0.0000
Sb2 0.0000 0.0000 0.0000
Ga1 0.3339 0.1661 0.5000
Ga2 0.1661 0.6661 0.5000
Ga3 0.6661 0.8339 0.5000
Ga4 0.8339 0.3339 0.5000
Mg1 0.1341 0.3659 0.0000
Mg2 0.3659 0.8659 0.0000
Mg3 0.8659 0.6341 0.0000
Mg4 0.6341 0.1341 0.0000

Results
Total moment, μB/f.u.: 0.0
Calculated volume, Å³/atom: 21.916
Raw formation energy, meV per atom: -22
D(E_F), states/eV/f.u.: 3.2
Energy above the most stable polymorph in this dataset, meV per atom: 53.5
Symmetry: P4/mbm



# 3
This record from Alexandria via LeMat-Bulk describes a relaxed structure of Mg14GaSb. The functional is GGA-PBE.

Unit cell a=6.3787 b=6.3787 c=10.2508 alpha=90.00 beta=90.00 gamma=119.80
Fractional coordinates of all 16 atoms:
Mg1 0.6712 0.8371 0.7455
Mg2 0.6678 0.3322 0.2534
Mg3 0.3348 0.1661 0.5000
Mg4 0.6678 0.3322 0.7466
Mg5 0.1658 0.8342 0.7507
Mg6 0.8339 0.6652 0.5000
Mg7 0.8342 0.1658 0.0000
Mg8 0.8325 0.6667 0.0000
Mg9 0.3345 0.6655 0.0000
Mg10 0.1629 0.3288 0.7455
Mg11 0.3333 0.1675 0.0000
Mg12 0.1658 0.8342 0.2493
Mg13 0.6712 0.8371 0.2545
Mg14 0.1629 0.3288 0.2545
Sb1 0.3315 0.6685 0.5000
Ga1 0.8299 0.1701 0.5000

Results
Total moment, μB/f.u.: 0.0
Calculated volume, Å³/atom: 22.621
Raw formation energy, meV per atom: -43
D(E_F), states/eV/f.u.: 5.9
Symmetry: Amm2